# TbMnP | Alexandria via LeMat-Bulk | GGA-PBE | optimized geometry
# N(E_F) ... 2.31 states/eV/cell
# ΔE_f ... -0.915 eV/atom
# Magnetization ... 1.0 μB/f.u.
# Total DFT energy (no corrections) ... -21.95 eV per formula unit
data_TbMnP
_cell_length_a 3.7853
_cell_length_b 3.7853
_cell_length_c 7.1607
_cell_angle_alpha 90.00
_cell_angle_beta 90.00
_cell_angle_gamma 90.00
_symmetry_space_group_name_H-M 'P 4/n m m'
_symmetry_Int_Tables_number 129
loop_
_symmetry_equiv_pos_as_xyz
'x,y,z'
'-x,-y,-z'
'-y+1/2,x,z'
'y+1/2,-x,-z'
'-x+1/2,-y+1/2,z'
'x+1/2,y+1/2,-z'
'y,-x+1/2,z'
'-y,x+1/2,-z'
'x+1/2,-y,-z'
'-x+1/2,y,z'
'-y,-x,-z'
'y,x,z'
'-x,y+1/2,-z'
'x,-y+1/2,z'
'y+1/2,x+1/2,-z'
'-y+1/2,-x+1/2,z'
loop_
_atom_site_label
_atom_site_fract_x
_atom_site_fract_y
_atom_site_fract_z
Tb1 0.2500 0.2500 0.1662
Mn1 0.2500 0.7500 0.5000
P1 0.2500 0.2500 0.6921